No. 1
The following is a SCAN calculation of a crystal of Al7CrBi4O18 relaxed with PBEsol, from Alexandria.

a b c (Å): 5.747 7.690 8.175
angles (deg): 90.06 90.00 90.00
Positions (direct):
Bi  0.999  0.835  0.331
Bi  0.999  0.165  0.669
Bi  0.004  0.667  0.832
Bi  0.004  0.333  0.168
O  0.501  0.863  0.086
O  0.250  0.878  0.793
O  0.751  0.875  0.793
O  0.001  0.855  0.065
O  0.008  0.351  0.434
O  0.506  0.000  0.500
O  0.751  0.375  0.713
O  0.008  0.649  0.566
O  0.485  0.500  0.000
O  0.491  0.640  0.589
O  0.751  0.625  0.287
O  0.250  0.122  0.207
O  0.751  0.125  0.207
O  0.249  0.374  0.707
O  0.249  0.626  0.293
O  0.001  0.145  0.935
O  0.501  0.137  0.914
O  0.491  0.360  0.411
Al  0.501  0.145  0.336
Al  0.260  0.500  0.500
Al  0.261  0.000  0.000
Al  0.501  0.855  0.664
Al  0.496  0.352  0.838
Al  0.496  0.648  0.162
Al  0.740  0.000  0.000
Cr  0.742  0.500  0.500

Symmetry   P2 (3)
Calculated total energy   -19.214 eV per atom
Uncorrected formation energy   -2576 meV per atom

***

No. 2
The following is a SCAN calculation of a crystal of CsAl2Bi2 relaxed with PBEsol, from Alexandria.

a b c (Å): 4.741 4.741 8.292
angles (deg): 106.61 106.61 90.00
Positions (direct):
Bi  0.358  0.358  0.715
Bi  0.642  0.642  0.285
Al  0.250  0.750  0.500
Al  0.750  0.250  0.500
Cs  0.000  0.000  0.000

Symmetry   I4/mmm (139)
Calculated total energy   -42.266 eV per atom
Energy relative to the elements   -171 meV per atom